This record from Alexandria describes an optimized crystal structure of KNpAgBr6. The functional is PBE.

The structure in POSCAR format:
```
KNpAgBr6
1.0
-5.6103 -0.1686 4.6609
3.3930 -6.1882 -1.8497
9.3268 1.7393 11.2896
K Np Ag Br
2 2 2 12
direct
0.0000 0.0000 0.0000
0.0000 0.0000 0.5000
0.6667 0.3333 0.2500
0.3333 0.6667 0.7500
0.3333 0.6667 0.2500
0.6667 0.3333 0.7500
0.6451 0.6316 0.1392
0.9864 0.3549 0.1392
0.3549 0.9864 0.6392
0.0136 0.6451 0.8608
0.3684 0.3549 0.3608
0.9864 0.6316 0.3608
0.6316 0.9864 0.8608
0.6451 0.0136 0.3608
0.0136 0.3684 0.6392
0.3684 0.0136 0.1392
0.6316 0.6451 0.6392
0.3549 0.3684 0.8608
```

Results
Mass density (g/cm3): 4.2
Spin magnetization (μB/f.u.): 3.00
Formation energy from raw total energies (meV per atom): -1164